This record from Alexandria describes a relaxed Nd2Ga4Ir3Au crystal. The functional is PBE-GGA.

```
Nd2Ga4Ir3Au
1.0
4.2250 0.0000 0.0000
0.0000 4.2250 0.0000
0.0000 0.0000 10.7805
Nd Ga Ir Au
2 4 3 1
Direct
0.0000 0.5000 0.2438
0.5000 0.0000 0.7562
0.0000 0.0000 0.0000
0.0000 0.5000 0.6373
0.5000 0.0000 0.3627
0.5000 0.5000 0.0000
0.0000 0.5000 0.8677
0.5000 0.0000 0.1323
0.5000 0.5000 0.5000
0.0000 0.0000 0.5000
```

## Properties
**Electronic total energy**: -58.0 eV for the cell shown
**M_tot**: 0.00 μB per atom
**Space-group type**: P-4m2, No. 115
**DOS at the Fermi energy**: 6.805 states/eV per cell
**Energy of formation from the pure elements**: -0.652 eV/atom